# ZrAlRe2

A geometry-optimized ZrAlRe2 structure (PBE, the Alexandria database).

Summary:
**VASP energy**: -69.33 eV/cell
**Crystal system**: tetragonal

```
ZrAlRe2
1.0
-3.664 3.664 2.650
3.664 -3.664 2.650
3.664 3.664 -2.650
Zr Al Re
2 2 4
Direct
0.000 0.000 0.000
0.750 0.250 0.500
0.250 0.750 0.500
0.500 0.500 0.000
0.164 0.625 0.039
0.375 0.414 0.539
0.586 0.125 0.961
0.875 0.836 0.461
```

=====

# Tb2PmPt

A geometry-optimized Tb2PmPt structure (PBE, the Alexandria database).

Summary:
**VASP energy**: -22.17 eV/cell
**Distance to the lowest polymorph of the same formula**: 15.0 kJ per mole of atoms
**Crystal system**: trigonal

```
Tb2PmPt
1.0
1.985 1.146 9.054
-1.985 1.146 9.054
0.000 -2.292 9.054
Tb Pm Pt
2 1 1
Direct
0.000 0.000 0.000
0.214 0.214 0.214
0.771 0.771 0.771
0.607 0.607 0.607
```

=====

# AcPm2SmSe4

A geometry-optimized AcPm2SmSe4 structure (PBE, the Alexandria database).

Summary:
**VASP energy**: -46.83 eV/cell
**Crystal system**: monoclinic

```
AcPm2SmSe4
1.0
7.374 0.000 0.000
0.000 4.210 0.000
-2.411 0.000 7.053
Ac Pm Sm Se
1 2 1 4
Direct
0.000 0.000 0.000
0.500 0.000 0.500
0.500 0.500 0.000
0.000 0.500 0.500
0.254 0.000 0.743
0.261 0.500 0.263
0.739 0.500 0.737
0.746 0.000 0.257
```